Here is a relaxed structure of Ac5La2Tb5 from Alexandria. Energies are from GGA-PBE.

Results
ΔE_f in meV per atom: 55
Total moment in μB per formula unit: 0.00
SG: No. 12

Structure (POSCAR):
```
Ac5La2Tb5
1.0
9.775 -1.901 0.000
9.775 1.901 0.000
-8.844 0.000 12.302
Ac La Tb
5 2 5
Cartesian
0.000 0.000 0.000
-6.576 0.000 9.283
2.139 0.000 6.080
8.568 0.000 6.222
17.282 0.000 3.020
4.249 0.000 3.029
6.458 0.000 9.273
-4.422 0.000 6.151
-2.399 0.000 12.260
-0.141 0.000 9.262
10.848 0.000 3.040
13.106 0.000 0.043
```